# Sb2OsCl | Alexandria | GGA-PBE | relaxed
# final energy = -4.91 eV/atom
# spin magnetization = 0.000 μB per formula unit
# energy relative to the elements, uncorrected = 1.68 eV per formula unit
data_Sb2OsCl
_chemical_formula_sum 'Sb4 Os2 Cl2'
_cell_length_a 7.673
_cell_length_b 7.541
_cell_length_c 3.195
_cell_angle_alpha 90.00
_cell_angle_beta 106.68
_cell_angle_gamma 90.00
_symmetry_space_group_name_H-M 'C 1 2/m 1'
_symmetry_Int_Tables_number 12
loop_
_symmetry_equiv_pos_as_xyz
'x,y,z'
'-x,-y,-z'
'-x,y,-z'
'x,-y,z'
'x+1/2,y+1/2,z'
'-x+1/2,-y+1/2,-z'
'-x+1/2,y+1/2,-z'
'x+1/2,-y+1/2,z'
loop_
_atom_site_label
_atom_site_fract_x
_atom_site_fract_y
_atom_site_fract_z
_atom_site_occupancy
Sb1 0.250 0.250 0.000 1
Os1 0.000 0.000 0.000 1
Cl1 0.000 0.500 0.000 1